# 1
4
Lattice="4.745 -2.073 0.000 4.745 2.073 0.000 -1.785 0.000 3.740" Properties=species:S:1:pos:R:3 comment="LiHg2Au (GGA-PBEsol, optimized geometry)" formation_energy_ev_per_atom=-0.260 spacegroup="Cm (8)" pbc="T T T"
Li 0.000 0.000 0.000
Hg 1.034 0.000 2.806
Hg 3.857 0.000 1.867
Au 6.673 0.000 0.937



# 2
48
Lattice="9.064 0.000 0.000 0.000 5.300 0.000 -7.782 0.000 13.750" Properties=species:S:1:pos:R:3 comment="NaZrP2O8 (GGA-PBEsol, optimized geometry)" e_form_raw_kj_per_mol_atoms=-231 spacegroup="P2/c (13)" pbc="T T T"
Na -1.945 0.524 3.437
Na -5.836 4.776 10.312
Na -1.304 1.142 10.312
Na 2.587 4.159 3.437
Zr -1.651 1.190 7.035
Zr 2.240 4.110 0.160
Zr -0.957 1.190 13.590
Zr 2.934 4.110 6.715
P 0.708 1.497 1.821
P -3.182 3.804 8.696
P -4.129 1.452 12.073
P -0.238 3.848 5.198
P 1.521 1.452 8.552
P 5.411 3.848 1.677
P 4.465 1.497 5.053
P 0.574 3.804 11.928
O -3.375 1.477 5.995
O -7.266 3.823 12.869
O -4.294 1.607 10.544
O -0.403 3.693 3.669
O -5.039 0.276 12.516
O -1.148 5.024 5.641
O 0.261 1.470 3.304
O -3.630 3.830 10.179
O 1.538 0.221 1.563
O -2.353 5.080 8.438
O -2.308 2.569 8.434
O 1.582 2.732 1.559
O -0.672 2.581 5.941
O -4.563 2.719 12.816
O -2.668 1.094 12.416
O 1.223 4.206 5.541
O 0.060 1.094 8.209
O 3.950 4.206 1.334
O 5.845 2.581 0.934
O 1.954 2.719 7.809
O -0.300 2.569 12.191
O 3.591 2.732 5.316
O 3.636 0.221 5.312
O -0.255 5.080 12.187
O 4.912 1.470 3.571
O 1.021 3.830 10.446
O 2.431 0.276 8.109
O 6.322 5.024 1.234
O 1.686 1.607 10.081
O 5.577 3.693 3.206
O 8.548 1.477 0.880
O 4.658 3.823 7.755



# 3
5
Lattice="4.905 0.000 0.000 0.000 4.905 0.000 0.000 0.000 4.245" Properties=species:S:1:pos:R:3 comment="Hf2BeInRh (GGA-PBEsol, optimized geometry)" formation_energy_ev_per_atom=0.165 spacegroup="P4/mmm (123)" pbc="T T T"
Hf 0.000 2.453 0.000
Hf 2.453 0.000 0.000
Be 0.000 0.000 2.123
In 2.453 2.453 2.123
Rh 0.000 0.000 0.000



# 4
4
Lattice="-2.090 3.172 6.307 2.090 -3.172 6.307 2.090 3.172 -6.307" Properties=species:S:1:pos:R:3 comment="Sr2LiCa (GGA-PBEsol, optimized geometry)" formation_energy_ev_per_atom=0.035 relative_energy_kj_per_mol_atoms=1.8 spacegroup="Imm2 (44)" pbc="T T T"
Sr 0.000 0.000 0.000
Sr 0.000 3.172 2.729
Li 0.000 0.000 6.157
Ca 2.090 0.000 3.516